Entry 1:
! VOs3Pt PBE optimized geometry; values from VASP
! - SG = No. 221
! - energy relative to the elements (kJ per mole of atoms) = 248.4
! - raw total energy (eV/atom) = -7.195
! - polymorph energy (0 for the lowest one) (kJ/mol of formula units) = 403
&SYSTEM
  ibrav = 0, nat = 5, ntyp = 3
/
ATOMIC_SPECIES
V 50.94 V.upf
Os 190.23 Os.upf
Pt 195.08 Pt.upf
CELL_PARAMETERS angstrom
4.7414 0.0000 0.0000
0.0000 4.7414 0.0000
0.0000 0.0000 4.7414
ATOMIC_POSITIONS crystal
V 0.0000 0.0000 0.0000
Os 0.0000 0.5000 0.5000
Os 0.5000 0.0000 0.5000
Os 0.5000 0.5000 0.0000
Pt 0.5000 0.5000 0.5000



Entry 2:
! V2Os2Pt PBE optimized geometry; values from VASP
! - SG = No. 127
! - energy relative to the elements (kJ per mole of atoms) = -9.7
! - raw total energy (eV/atom) = -9.448
! - polymorph energy (0 for the lowest one) (kJ/mol of formula units) = 0
&SYSTEM
  ibrav = 0, nat = 10, ntyp = 3
/
ATOMIC_SPECIES
V 50.94 V.upf
Os 190.23 Os.upf
Pt 195.08 Pt.upf
CELL_PARAMETERS angstrom
7.1933 0.0000 0.0000
0.0000 7.1933 0.0000
0.0000 0.0000 2.8522
ATOMIC_POSITIONS crystal
V 0.1599 0.3401 0.0000
V 0.3401 0.8401 0.0000
V 0.6599 0.1599 0.0000
V 0.8401 0.6599 0.0000
Os 0.1369 0.6369 0.5000
Os 0.3631 0.1369 0.5000
Os 0.6369 0.8631 0.5000
Os 0.8631 0.3631 0.5000
Pt 0.0000 0.0000 0.5000
Pt 0.5000 0.5000 0.5000



Entry 3:
! VOsPt PBE optimized geometry; values from VASP
! - SG = No. 5
! - energy relative to the elements (kJ per mole of atoms) = -23.8
! - raw total energy (eV/atom) = -9.043
! - polymorph energy (0 for the lowest one) (kJ/mol of formula units) = 35
&SYSTEM
  ibrav = 0, nat = 6, ntyp = 3
/
ATOMIC_SPECIES
V 50.94 V.upf
Os 190.23 Os.upf
Pt 195.08 Pt.upf
CELL_PARAMETERS angstrom
4.1537 -2.3910 0.0000
4.1537 2.3910 0.0000
-2.7149 0.0000 4.3447
ATOMIC_POSITIONS crystal
V 0.1596 0.1596 0.4756
V 0.8404 0.8404 0.5244
Os 0.3224 0.0144 0.9983
Os 0.9856 0.6776 0.0017
Pt 0.4891 0.5109 0.5000
Pt 0.6591 0.3409 0.0000